Record 1
The following is a PBE calculation of CeInS3 after structural relaxation, from Alexandria.

Cell and atoms, written as POSCAR:
```
CeInS3
1.0
8.5236 -2.1691 0.0000
8.5236 2.1691 0.0000
-0.5697 0.0000 7.5102
Ce In S
2 2 6
Cartesian
2.0879 0.0000 3.0243
14.3896 0.0000 4.4859
6.8368 0.0000 1.1389
9.6407 0.0000 6.3713
0.1600 0.0000 5.3999
4.9815 0.0000 2.8426
5.7224 0.0000 6.2701
10.7551 0.0000 1.2401
11.4960 0.0000 4.6676
16.3175 0.0000 2.1103
```

Calculated values
Offset from the most stable computed form (meV per atom): 0
Formation energy from raw total energies (kJ/mol of formula units): -590
Symmetry: C2/m

=====

Record 2
The following is a PBE calculation of DyGaGePt3 after structural relaxation, from Alexandria.

Cell and atoms, written as POSCAR:
```
DyGaGePt3
1.0
3.4212 -5.9701 0.0000
3.4212 5.9701 0.0000
0.0000 0.0000 5.5938
Dy Ga Ge Pt
2 2 2 6
Cartesian
3.4212 3.6238 4.1954
3.4212 -3.6238 1.3985
3.4212 0.6951 4.1954
3.4212 -0.6951 1.3985
3.4212 4.3886 1.3985
3.4212 -4.3886 4.1954
1.4325 0.0000 0.0000
1.4325 0.0000 2.7969
3.4212 1.9820 1.3985
3.4212 -1.9820 4.1954
5.4099 0.0000 0.0000
5.4099 0.0000 2.7969
```

Calculated values
ΔH_f (0 K) (meV per atom): -701.9
Symmetry: Cmcm

=====

The following ρ values (in Mg/m³) correspond, in order, to the records above: 4.2 12.9.